Entry 1:
A geometry-optimized Ba2Al2SnS6 structure, computed with PBE.

Calculated total energy ... -4.81 eV per atom
Calculated volume ... 30.1 Å³/atom
Formation energy (no corrections) ... -12.79 eV/f.u.

a b c (Å): 8.5676 8.5676 8.5676
angles (deg): 49.22 49.22 49.22
Closest atoms and distances in Å follow each position.
Atoms (fractional coordinates):
Ba1 0.2090 0.2090 0.2090  9 S 3.27-3.64
Ba2 0.7910 0.7910 0.7910  9 S 3.27-3.64
Al1 0.4264 0.4264 0.4264  3 S 2.16
Al2 0.5736 0.5736 0.5736  3 S 2.16
Sn1 0.0000 0.0000 0.0000  6 S 2.87
S1 0.2242 0.7482 0.7482  1 Al 2.16
S2 0.2518 0.2518 0.7758  1 Al 2.16
S3 0.2518 0.7758 0.2518  1 Al 2.16
S4 0.7482 0.2242 0.7482  1 Al 2.16
S5 0.7482 0.7482 0.2242  1 Al 2.16
S6 0.7758 0.2518 0.2518  1 Al 2.16

***

Entry 2:
A geometry-optimized Li2In8Ni3 structure, computed with PBE.

Calculated total energy ... -3.42 eV per atom
Calculated volume ... 19.9 Å³/atom
ΔE_f ... -103 meV per atom

a b c (Å): 7.7076 4.5496 7.7564
angles (deg): 90.00 108.26 90.00
Closest atoms and distances in Å follow each position.
Atoms (fractional coordinates):
Li1 0.2426 0.0000 0.2557  8 In 2.73-2.83, 1 Ni 3.05
Li2 0.7574 0.0000 0.7443  8 In 2.73-2.83, 1 Ni 3.05
In1 0.1240 0.5000 0.3767  2 Li 2.73, 4 Ni 2.73-2.75
In2 0.1369 0.0000 0.8805  3 Ni 2.74-2.81, 2 Li 2.77-2.78, 1 In 3.07
In3 0.3777 0.5000 0.1225  2 Ni 2.74-2.75, 2 Li 2.83
In4 0.3801 0.0000 0.6341  3 Ni 2.75-2.78, 2 Li 2.76-2.79, 1 In 3.07
In5 0.6199 0.0000 0.3659  3 Ni 2.75-2.78, 2 Li 2.76-2.79, 1 In 3.07
In6 0.6223 0.5000 0.8775  2 Ni 2.74-2.75, 2 Li 2.83
In7 0.8631 0.0000 0.1195  3 Ni 2.74-2.81, 2 Li 2.77-2.78, 1 In 3.07
In8 0.8760 0.5000 0.6233  2 Li 2.73, 4 Ni 2.73-2.75
Ni1 0.0000 0.0000 0.5000  8 In 2.75-2.81, 2 Li 3.05
Ni2 0.2488 0.5000 0.7488  8 In 2.73-2.75
Ni3 0.7512 0.5000 0.2512  8 In 2.73-2.75

***

Entry 3:
A geometry-optimized AlRe2Rh structure, computed with PBE.

Calculated total energy ... -8.36 eV per atom
Calculated volume ... 16.2 Å³/atom
ΔE_f ... 642 meV per atom

a b c (Å): 5.6538 5.6538 5.6538
angles (deg): 101.77 101.77 126.31
Closest atoms and distances in Å follow each position.
Atoms (fractional coordinates):
Al1 0.0000 0.0000 0.0000  2 Rh 2.55, 4 Re 2.68
Al2 0.7500 0.2500 0.5000  2 Rh 2.55, 4 Re 2.68
Re1 0.1415 0.6250 0.0165  2 Rh 2.52, 2 Re 2.56, 2 Al 2.68
Re2 0.3750 0.3915 0.5165  2 Rh 2.52, 2 Re 2.56, 2 Al 2.68
Re3 0.6085 0.1250 0.9835  2 Rh 2.52, 2 Re 2.56, 2 Al 2.68
Re4 0.8750 0.8585 0.4835  2 Rh 2.52, 2 Re 2.56, 2 Al 2.68
Rh1 0.2500 0.7500 0.5000  4 Re 2.52, 2 Al 2.55
Rh2 0.5000 0.5000 0.0000  4 Re 2.52, 2 Al 2.55

***

Entry 4:
A geometry-optimized NdNi2Sn3 structure, computed with PBE.

Calculated total energy ... -5.00 eV per atom
Calculated volume ... 21.8 Å³/atom
ΔE_f ... -275 meV per atom

a b c (Å): 7.7359 7.7359 7.7359
angles (deg): 51.51 51.51 51.51
Closest atoms and distances in Å follow each position.
Atoms (fractional coordinates):
Nd1 0.2190 0.2190 0.2190  3 Ni 3.01, 3 Sn 3.31
Nd2 0.7810 0.7810 0.7810  3 Ni 3.01, 3 Sn 3.31
Ni1 0.0000 0.0000 0.0000  6 Sn 2.63
Ni2 0.0000 0.5000 0.5000  4 Sn 2.59
Ni3 0.5000 0.0000 0.5000  4 Sn 2.59
Ni4 0.5000 0.5000 0.0000  4 Sn 2.59
Sn1 0.2532 0.7436 0.7436  3 Ni 2.59-2.63
Sn2 0.2564 0.2564 0.7468  3 Ni 2.59-2.63
Sn3 0.2564 0.7468 0.2564  3 Ni 2.59-2.63
Sn4 0.7436 0.2532 0.7436  3 Ni 2.59-2.63
Sn5 0.7436 0.7436 0.2532  3 Ni 2.59-2.63
Sn6 0.7468 0.2564 0.2564  3 Ni 2.59-2.63

***

Entry 5:
A geometry-optimized CsNiBi3 structure, computed with PBE.

Calculated total energy ... -3.54 eV per atom
Calculated volume ... 32.4 Å³/atom
ΔE_f ... 114 meV per atom

a b c (Å): 5.4508 5.4508 5.4508
angles (deg): 90.00 90.00 90.00
Closest atoms and distances in Å follow each position.
Atoms (fractional coordinates):
Cs1 0.0000 0.0000 0.0000  12 Bi 3.85
Ni1 0.5000 0.5000 0.5000  6 Bi 2.73
Bi1 0.0000 0.5000 0.5000  2 Ni 2.73
Bi2 0.5000 0.0000 0.5000  2 Ni 2.73
Bi3 0.5000 0.5000 0.0000  2 Ni 2.73

***

Entry 6:
A geometry-optimized CaAs2Br structure, computed with PBE.

Calculated total energy ... -3.15 eV per atom
Calculated volume ... 24.6 Å³/atom
Formation energy (no corrections) ... 0.37 eV/f.u.

a b c (Å): 5.1793 5.1793 5.1793
angles (deg): 60.00 60.00 60.00
Closest atoms and distances in Å follow each position.
Atoms (fractional coordinates):
Ca1 0.0000 0.0000 0.0000  8 As 3.17
As1 0.2500 0.2500 0.2500  4 Br 3.17, 4 Ca 3.17
As2 0.7500 0.7500 0.7500  4 Br 3.17, 4 Ca 3.17
Br1 0.5000 0.5000 0.5000  8 As 3.17

***

Entry 7:
A geometry-optimized Ag4SnAu2 structure, computed with PBE.

Calculated total energy ... -3.13 eV per atom
Calculated volume ... 19.6 Å³/atom
ΔE_f ... 12 meV per atom

a b c (Å): 5.2966 9.1318 5.7121
angles (deg): 90.00 97.14 90.00
Closest atoms and distances in Å follow each position.
Atoms (fractional coordinates):
Ag1 0.2359 0.2141 0.3896  3 Au 2.84-2.94, 5 Ag 2.88-2.94, 2 Sn 2.99-3.11
Ag2 0.2359 0.2859 0.8896  3 Au 2.84-2.94, 5 Ag 2.88-2.94, 2 Sn 2.99-3.11
Ag3 0.2373 0.7147 0.8911  3 Au 2.84-2.94, 5 Ag 2.88-2.94, 2 Sn 2.99-3.12
Ag4 0.2373 0.7853 0.3911  3 Au 2.84-2.94, 5 Ag 2.88-2.94, 2 Sn 2.99-3.12
Ag5 0.7627 0.2147 0.6089  3 Au 2.84-2.94, 5 Ag 2.88-2.94, 2 Sn 2.99-3.12
Ag6 0.7627 0.2853 0.1089  3 Au 2.84-2.94, 5 Ag 2.88-2.94, 2 Sn 2.99-3.12
Ag7 0.7641 0.7141 0.1104  3 Au 2.84-2.94, 5 Ag 2.88-2.94, 2 Sn 2.99-3.11
Ag8 0.7641 0.7859 0.6104  3 Au 2.84-2.94, 5 Ag 2.88-2.94, 2 Sn 2.99-3.11
Sn1 0.0000 0.0000 0.0000  2 Au 2.82, 8 Ag 2.99-3.12
Sn2 0.0000 0.5000 0.5000  2 Au 2.82, 8 Ag 2.99-3.12
Au1 0.4202 0.0003 0.7423  1 Sn 2.82, 6 Ag 2.84-2.94, 2 Au 2.96-2.99
Au2 0.4202 0.4997 0.2423  1 Sn 2.82, 6 Ag 2.84-2.94, 2 Au 2.96-2.99
Au3 0.5798 0.9997 0.2577  1 Sn 2.82, 6 Ag 2.84-2.94, 2 Au 2.96-2.99
Au4 0.5798 0.5003 0.7577  1 Sn 2.82, 6 Ag 2.84-2.94, 2 Au 2.96-2.99

***

Entry 8:
A geometry-optimized NpMn2C2 structure, computed with PBE.

Calculated total energy ... -10.04 eV per atom
Calculated volume ... 11.5 Å³/atom
ΔE_f ... -95 meV per atom

a b c (Å): 6.1328 5.4583 5.1618
angles (deg): 70.48 57.02 52.50
Closest atoms and distances in Å follow each position.
Atoms (fractional coordinates):
Np1 0.1250 0.1250 0.1250  6 C 2.59-2.78, 4 Mn 2.78
Np2 0.8750 0.8750 0.8750  6 C 2.59-2.78, 4 Mn 2.78
Mn1 0.2386 0.2386 0.5114  4 C 1.92-1.99
Mn2 0.4886 0.4886 0.7614  4 C 1.92-1.99
Mn3 0.5114 0.5114 0.2386  4 C 1.92-1.99
Mn4 0.7614 0.7614 0.4886  4 C 1.92-1.99
C1 0.1870 0.5630 0.1870  4 Mn 1.92-1.99
C2 0.4370 0.8130 0.4370  4 Mn 1.92-1.99
C3 0.5630 0.1870 0.5630  4 Mn 1.92-1.99
C4 0.8130 0.4370 0.8130  4 Mn 1.92-1.99

***

Entry 9:
A geometry-optimized Rb4Hg5Pd2 structure, computed with PBE.

Calculated total energy ... -1.60 eV per atom
Calculated volume ... 35.7 Å³/atom
ΔE_f ... -165 meV per atom

a b c (Å): 7.9319 5.3119 9.3087
angles (deg): 90.00 90.83 90.00
Closest atoms and distances in Å follow each position.
Atoms (fractional coordinates):
Rb1 0.2130 0.0000 0.1445  2 Pd 3.59, 8 Hg 3.61-3.84
Rb2 0.2356 0.0000 0.6047  4 Pd 3.57-3.69, 6 Hg 3.73-3.88
Rb3 0.7644 0.0000 0.3953  4 Pd 3.57-3.69, 6 Hg 3.73-3.88
Rb4 0.7870 0.0000 0.8555  2 Pd 3.59, 8 Hg 3.61-3.84
Hg1 0.1367 0.5000 0.8713  1 Pd 2.73
Hg2 0.4109 0.5000 0.3492  1 Pd 2.76
Hg3 0.5000 0.5000 0.0000  4 Hg 3.11-3.34
Hg4 0.5891 0.5000 0.6508  1 Pd 2.76
Hg5 0.8633 0.5000 0.1287  1 Pd 2.73
Pd1 0.0638 0.5000 0.3690  1 Pd 2.65, 2 Hg 2.73-2.76
Pd2 0.9362 0.5000 0.6310  1 Pd 2.65, 2 Hg 2.73-2.76

***

Entry 10:
A geometry-optimized Cs4NdI7 structure, computed with PBE.

Calculated total energy ... -3.08 eV per atom
Calculated volume ... 63.2 Å³/atom
Formation energy (no corrections) ... -17.94 eV/f.u.

a b c (Å): 10.2120 10.2120 12.9271
angles (deg): 105.15 105.15 35.78
Closest atoms and distances in Å follow each position.
Atoms (fractional coordinates):
Cs1 0.0148 0.0148 0.2056  5 I 3.77-4.04
Cs2 0.2511 0.2511 0.8223  6 I 3.87-4.10
Cs3 0.7489 0.7489 0.1777  6 I 3.87-4.10
Cs4 0.9852 0.9852 0.7944  5 I 3.77-4.04
Nd1 0.5000 0.5000 0.5000  6 I 3.12-3.14
I1 0.0000 0.0000 0.5000  2 Nd 3.14
I2 0.1474 0.1474 0.0403  5 Cs 3.77-3.89
I3 0.3827 0.3827 0.6228  1 Nd 3.12
I4 0.3877 0.3877 0.2752  1 Nd 3.12
I5 0.6123 0.6123 0.7248  1 Nd 3.12
I6 0.6173 0.6173 0.3772  1 Nd 3.12
I7 0.8526 0.8526 0.9597  5 Cs 3.77-3.89

***

Entry 11:
A geometry-optimized ZrCrGe structure, computed with PBE.

Calculated total energy ... -7.91 eV per atom
Calculated volume ... 17.5 Å³/atom
ΔE_f ... -315 meV per atom

a b c (Å): 4.0306 4.0306 7.4611
angles (deg): 90.00 90.00 120.00
Closest atoms and distances in Å follow each position.
Atoms (fractional coordinates):
Zr1 0.0000 0.0000 0.0000  4 Ge 2.75-2.90, 3 Cr 2.89
Zr2 0.3333 0.6667 0.6050  6 Ge 2.76-2.83, 1 Cr 2.81
Cr1 0.3333 0.6667 0.2288  3 Cr 2.36, 3 Ge 2.62
Cr2 0.6667 0.3333 0.2784  3 Cr 2.36, 3 Ge 2.47
Ge1 0.0000 0.0000 0.3892  6 Cr 2.47-2.62
Ge2 0.6667 0.3333 0.8042  6 Zr 2.75-2.76

***

Entry 12:
A geometry-optimized ScMoCl2 structure, computed with PBE.

Calculated total energy ... -5.22 eV per atom
Calculated volume ... 17.0 Å³/atom
Formation energy (no corrections) ... -0.03 eV/f.u.

a b c (Å): 4.5847 4.5847 4.5847
angles (deg): 60.00 60.00 60.00
Closest atoms and distances in Å follow each position.
Atoms (fractional coordinates):
Sc1 0.0000 0.0000 0.0000  8 Cl 2.81
Mo1 0.5000 0.5000 0.5000  8 Cl 2.81
Cl1 0.2500 0.2500 0.2500  4 Mo 2.81, 4 Sc 2.81
Cl2 0.7500 0.7500 0.7500  4 Mo 2.81, 4 Sc 2.81

***

Question: Among the records above, which one has the highest calculated volume?
Answer: Cs4NdI7

***

Copy entry 1 word for word.
A geometry-optimized Ba2Al2SnS6 structure, computed with PBE.

Calculated total energy ... -4.81 eV per atom
Calculated volume ... 30.1 Å³/atom
Formation energy (no corrections) ... -12.79 eV/f.u.

a b c (Å): 8.5676 8.5676 8.5676
angles (deg): 49.22 49.22 49.22
Closest atoms and distances in Å follow each position.
Atoms (fractional coordinates):
Ba1 0.2090 0.2090 0.2090  9 S 3.27-3.64
Ba2 0.7910 0.7910 0.7910  9 S 3.27-3.64
Al1 0.4264 0.4264 0.4264  3 S 2.16
Al2 0.5736 0.5736 0.5736  3 S 2.16
Sn1 0.0000 0.0000 0.0000  6 S 2.87
S1 0.2242 0.7482 0.7482  1 Al 2.16
S2 0.2518 0.2518 0.7758  1 Al 2.16
S3 0.2518 0.7758 0.2518  1 Al 2.16
S4 0.7482 0.2242 0.7482  1 Al 2.16
S5 0.7482 0.7482 0.2242  1 Al 2.16
S6 0.7758 0.2518 0.2518  1 Al 2.16

***

Question: The highest calculated total energy belongs to which entry?
Answer: Rb4Hg5Pd2

***

Question: Number 7 is which compound?
Answer: Ag4SnAu2